(1)
Density functional theory data (PBE) for a relaxed structure of LaEr4Tm2Sc.

Cell: 6.982 12.136 12.113 Å, 146.53 106.56 90.00°
Fractional positions:
Er  0.754  0.746  0.003
Tm  0.000  0.000  0.500
Er  0.749  0.752  0.498
Er  0.246  0.751  0.498
Sc  0.000  0.500  0.000
Er  0.251  0.746  0.999
La  0.000  0.000  0.000
Er  0.754  0.249  0.502
Tm  0.500  0.000  0.000
Er  0.246  0.254  0.997
Er  0.749  0.254  0.001
La  0.500  0.500  0.500
Tm  0.500  0.000  0.500
Tm  0.500  0.500  0.000
Sc  0.000  0.500  0.500
Er  0.251  0.248  0.502

## Properties
DOS at the Fermi energy = 11.2 states/eV/f.u.
calculated total energy = -0.1753 hartree per atom
spin magnetization = 0.0 μB/f.u.

***

(2)
Density functional theory data (PBE) for a relaxed structure of LaErTmSc.

Cell: 3.510 3.511 11.542 Å, 90.00 98.72 119.99°
Fractional positions:
Er  0.306  0.551  0.873
La  0.965  0.381  0.361
Tm  0.476  0.136  0.627
Sc  0.131  0.963  0.109

## Properties
DOS at the Fermi energy = 6.4 states/eV/f.u.
calculated total energy = -0.1839 hartree per atom
distance to the lowest polymorph of the same formula = 0.000 eV per atom
spin magnetization = 0.0 μB/f.u.

***

(3)
Density functional theory data (PBE) for a relaxed structure of LaEr6Tm3Sc2.

Cell: 6.022 6.022 11.570 Å, 94.96 94.96 119.97°
Fractional positions:
Sc  0.667  0.333  0.000
Tm  0.167  0.833  0.500
Tm  0.833  0.167  0.500
La  0.000  0.000  0.000
Er  0.747  0.747  0.250
Tm  0.500  0.500  0.500
Er  0.084  0.420  0.250
Er  0.580  0.916  0.750
Er  0.253  0.253  0.750
Er  0.420  0.084  0.250
Er  0.916  0.580  0.750
Sc  0.333  0.667  0.000

## Properties
DOS at the Fermi energy = 17.7 states/eV/f.u.
calculated total energy = -0.1772 hartree per atom
spin magnetization = 0.0 μB/f.u.

***

(4)
Density functional theory data (PBE) for a relaxed structure of LaEr2Tm5Sc.

Cell: 5.525 10.162 10.257 Å, 90.00 90.00 105.77°
Fractional positions:
Er  0.886  0.772  0.234
Tm  0.275  0.550  0.325
Tm  0.623  0.246  0.521
Sc  0.804  0.607  0.514
La  0.415  0.829  0.449
Tm  0.520  0.040  0.236
Tm  0.480  0.960  0.736
Tm  0.297  0.594  0.708
Sc  0.196  0.393  0.014
Er  0.111  0.221  0.314
Tm  0.377  0.754  0.021
Tm  0.982  0.965  0.523
Tm  0.725  0.450  0.825
Tm  0.703  0.406  0.208
Er  0.114  0.228  0.734
Er  0.889  0.779  0.814
Tm  0.018  0.035  0.023
La  0.585  0.171  0.949

## Properties
DOS at the Fermi energy = 15.5 states/eV/f.u.
calculated total energy = -0.1676 hartree per atom
spin magnetization = 0.0 μB/f.u.